First-principles (meta-GGA SCAN) data for CaAs2Os at its PBEsol-relaxed geometry, as listed in the Alexandria database.

Properties
ΔH_f (0 K) (eV/atom): -0.503

Cell: 4.1788 4.1788 14.8156 Å, 90.00 90.00 120.00°
Closest atoms and distances in Å follow each position.
Space group R-3m (No. 166, hexagonal axes)
Symmetry-distinct sites (fractional):
Ca: 0.0000 0.0000 0.0000  8 As 2.94-3.26
As: 0.0000 0.0000 0.2200  3 Os 2.54
Os: 0.0000 0.0000 0.5000  6 As 2.54

First-principles (meta-GGA SCAN) data for CaAsOs2 at its PBEsol-relaxed geometry, as listed in the Alexandria database.

Properties
ΔH_f (0 K) (eV/atom): 0.125

Cell: 2.8609 4.1327 6.0434 Å, 90.00 100.90 90.00°
Closest atoms and distances in Å follow each position.
Space group Pm (No. 6)
Symmetry-distinct sites (fractional):
Ca: 0.0000 0.0000 0.0000  2 Ca 2.86, 3 Os 2.92-3.09, 4 As 2.97-3.00
As: 0.3785 0.5000 0.7291  4 Os 2.55-2.78
Os: 0.3936 0.0000 0.4821  2 As 2.55, 4 Os 2.57-2.70
Os: 0.7958 0.5000 0.3498  6 Os 2.57-2.86, 2 As 2.57-2.78

First-principles (meta-GGA SCAN) data for Ca2AsOs at its PBEsol-relaxed geometry, as listed in the Alexandria database.

Properties
ΔH_f (0 K) (eV/atom): -0.250

Cell: 10.9756 3.3096 4.9677 Å, 90.00 109.26 90.00°
Closest atoms and distances in Å follow each position.
Space group Cm (No. 8)
Symmetry-distinct sites (fractional):
Ca: 0.0000 0.0000 0.0000  4 As 3.04-3.09, 3 Os 3.08-3.24, 4 Ca 3.18-3.31
Ca: 0.1991 0.0000 0.6581  4 Os 3.03-3.11, 3 As 3.08-3.22, 4 Ca 3.18-3.31
As: 0.4328 0.0000 0.4458  2 Os 2.43
Os: 0.2687 0.5000 0.2198  2 As 2.43

First-principles (meta-GGA SCAN) data for Ca2AsOs at its PBEsol-relaxed geometry, as listed in the Alexandria database.

Properties
ΔH_f (0 K) (eV/atom): 0.150

Cell: 3.2616 3.2616 26.9552 Å, 90.00 90.00 120.00°
Closest atoms and distances in Å follow each position.
Space group R-3m (No. 166, hexagonal axes)
Symmetry-distinct sites (fractional):
Ca: 0.0000 0.0000 0.2460  3 Os 2.85, 3 As 3.01
As: 0.0000 0.0000 0.0000  6 Ca 3.01, 6 As 3.26
Os: 0.0000 0.0000 0.5000  6 Ca 2.85

First-principles (meta-GGA SCAN) data for CaAsOsSe2 at its PBEsol-relaxed geometry, as listed in the Alexandria database.

Properties
Uncorrected formation energy (eV/atom): -0.158

Cell: 5.1594 5.1594 4.5171 Å, 90.00 90.00 90.00°
Closest atoms and distances in Å follow each position.
Space group P4/mmm (No. 123)
Symmetry-distinct sites (fractional):
Ca: 0.0000 0.0000 0.0000  8 Se 3.43, 4 As 3.65
As: 0.5000 0.5000 0.0000  2 Os 2.26
Os: 0.5000 0.5000 0.5000  2 As 2.26
Se: 0.0000 0.5000 0.5000  2 Os 2.58

First-principles (meta-GGA SCAN) data for Ca2AsP at its PBEsol-relaxed geometry, as listed in the Alexandria database.

Properties
ΔH_f (0 K) (eV/atom): -0.093
Energy above the most stable polymorph in this dataset (meV/atom): 789

Cell: 3.6295 3.6295 27.4764 Å, 90.00 90.00 120.00°
Closest atoms and distances in Å follow each position.
Space group R3m (No. 160, hexagonal axes)
Symmetry-distinct sites (fractional):
Ca: 0.0000 0.0000 0.0000  3 As 3.16
Ca: 0.0000 0.0000 0.2150  3 P 2.97
As: 0.0000 0.0000 0.7526  3 P 2.54
P: 0.0000 0.0000 0.4716  3 As 2.54

First-principles (meta-GGA SCAN) data for Ca2AsP2 at its PBEsol-relaxed geometry, as listed in the Alexandria database.

Properties
ΔH_f (0 K) (eV/atom): -0.825

Cell: 7.0773 7.0773 4.0719 Å, 90.00 90.00 90.00°
Closest atoms and distances in Å follow each position.
Space group P4/mbm (No. 127)
Symmetry-distinct sites (fractional):
Ca: 0.1836 0.3164 0.0000  6 P 2.90-2.96
As: 0.0000 0.0000 0.5000  4 P 2.86
P: 0.1106 0.6106 0.5000  1 P 2.21

First-principles (meta-GGA SCAN) data for CaAs2P at its PBEsol-relaxed geometry, as listed in the Alexandria database.

Properties
ΔH_f (0 K) (eV/atom): -0.147

Cell: 3.7582 3.7582 5.5889 Å, 90.00 90.00 90.00°
Closest atoms and distances in Å follow each position.
Space group P4/mmm (No. 123)
Symmetry-distinct sites (fractional):
Ca: 0.0000 0.0000 0.0000  2 P 2.79, 8 As 3.10
As: 0.5000 0.5000 0.2845  1 As 2.41
P: 0.0000 0.0000 0.5000  2 Ca 2.79, 8 As 2.92

First-principles (meta-GGA SCAN) data for Ca2AsP at its PBEsol-relaxed geometry, as listed in the Alexandria database.

Properties
ΔH_f (0 K) (eV/atom): -0.852
Energy above the most stable polymorph in this dataset (meV/atom): 29

Cell: 4.0945 4.0945 10.4581 Å, 90.00 90.00 90.00°
Closest atoms and distances in Å follow each position.
Space group I-4m2 (No. 119)
Symmetry-distinct sites (fractional):
Ca: 0.0000 0.0000 0.0000  4 P 2.90
Ca: 0.0000 0.5000 0.2500  4 As 2.90
As: 0.0000 0.5000 0.7500  4 Ca 2.90
P: 0.0000 0.0000 0.5000  4 Ca 2.90

First-principles (meta-GGA SCAN) data for Ca2AsP at its PBEsol-relaxed geometry, as listed in the Alexandria database.

Properties
ΔH_f (0 K) (eV/atom): -0.881
Energy above the most stable polymorph in this dataset (meV/atom): 0

Cell: 7.0706 7.0706 7.0706 Å, 90.00 90.00 90.00°
Closest atoms and distances in Å follow each position.
Space group Fm-3m (No. 225)
Symmetry-distinct sites (fractional):
Ca: 0.2500 0.2500 0.2500  4 As 3.06, 4 P 3.06
As: 0.0000 0.0000 0.0000  8 Ca 3.06
P: 0.0000 0.0000 0.5000  8 Ca 3.06

First-principles (meta-GGA SCAN) data for CaAs2P at its PBEsol-relaxed geometry, as listed in the Alexandria database.

Properties
ΔH_f (0 K) (eV/atom): -0.356

Cell: 3.4651 4.8788 9.0907 Å, 90.00 90.00 90.00°
Closest atoms and distances in Å follow each position.
Space group Immm (No. 71)
Symmetry-distinct sites (fractional):
Ca: 0.0000 0.0000 0.0000  4 P 2.99, 8 As 3.09-3.17
As: 0.0000 0.5000 0.2079  2 P 2.56
P: 0.0000 0.0000 0.5000  4 As 2.56

First-principles (meta-GGA SCAN) data for CaAs3Pb at its PBEsol-relaxed geometry, as listed in the Alexandria database.

Properties
ΔH_f (0 K) (eV/atom): 0.453

Cell: 5.3122 5.3122 5.3122 Å, 90.00 90.00 90.00°
Closest atoms and distances in Å follow each position.
Space group Pm-3m (No. 221)
Symmetry-distinct sites (fractional):
Ca: 0.0000 0.0000 0.0000  12 As 3.76
As: 0.0000 0.5000 0.5000  2 Pb 2.66
Pb: 0.5000 0.5000 0.5000  6 As 2.66

no.,spin magnetization (μB per formula unit)
1,0.00
2,0.00
3,0.11
4,0.00
5,0.88
6,0.17
7,0.00
8,0.00
9,0.00
10,0.00
11,0.00
12,0.00